[1]
Computed, not measured: a geometry-optimized InGeN structure at the PBE level of DFT.

Cell lengths 3.053, 7.447, 4.961 Å; angles 90.00, 90.00, 90.00 degrees
Sites, in units of the cell vectors:
In: 0.000 0.145 0.000
In: 0.500 0.855 0.500
Ge: 0.000 0.408 0.404
Ge: 0.500 0.592 0.904
N: 0.000 0.441 0.793
N: 0.500 0.559 0.293

Results
The value obtained for the total magnetic moment is 0.00 μB/cell. Its crystal system is orthorhombic. As for the space group: Pmn2_1 (31). The value obtained for the density of states at the Fermi level is 1.4 states/eV/cell. The uncorrected formation energy is 0.121 eV per atom.

[2]
Computed, not measured: a geometry-optimized InGeN2 structure at the PBE level of DFT.

Cell lengths 6.015, 7.190, 5.229 Å; angles 90.00, 90.00, 90.00 degrees
Sites, in units of the cell vectors:
In: 0.101 0.115 0.000
In: 0.399 0.615 0.500
In: 0.601 0.385 0.000
In: 0.899 0.885 0.500
Ge: 0.027 0.630 0.996
Ge: 0.473 0.130 0.496
Ge: 0.527 0.870 0.996
Ge: 0.973 0.370 0.496
N: 0.029 0.610 0.353
N: 0.220 0.241 0.366
N: 0.280 0.741 0.866
N: 0.471 0.110 0.853
N: 0.529 0.890 0.353
N: 0.720 0.259 0.366
N: 0.780 0.759 0.866
N: 0.971 0.390 0.853

Results
The value obtained for the total magnetic moment is 0.00 μB/cell. Its crystal system is orthorhombic. As for the space group: Pna2_1 (33). The energy above the most stable polymorph in this dataset comes out at 0 meV/atom. The value obtained for the density of states at the Fermi level is 4.7 states/eV/cell. The uncorrected formation energy is 0.217 eV per atom.

[3]
Computed, not measured: a geometry-optimized In2GeN structure at the PBE level of DFT.

Cell lengths 4.765, 4.765, 4.765 Å; angles 60.00, 60.00, 60.00 degrees
Sites, in units of the cell vectors:
In: 0.250 0.250 0.250
In: 0.750 0.750 0.750
Ge: 0.000 0.000 0.000
N: 0.500 0.500 0.500

Results
The value obtained for the total magnetic moment is 1.28 μB/cell. Its crystal system is cubic. As for the space group: Fm-3m (225). The value obtained for the density of states at the Fermi level is 2.6 states/eV/cell. The uncorrected formation energy is 1.008 eV per atom.

[4]
Computed, not measured: a geometry-optimized InGeN2 structure at the PBE level of DFT.

Cell lengths 4.127, 4.127, 4.127 Å; angles 60.00, 60.00, 60.00 degrees
Sites, in units of the cell vectors:
In: 0.000 0.000 0.000
Ge: 0.500 0.500 0.500
N: 0.250 0.250 0.250
N: 0.750 0.750 0.750

Results
The value obtained for the total magnetic moment is 0.51 μB/cell. Its crystal system is cubic. As for the space group: Fm-3m (225). The energy above the most stable polymorph in this dataset comes out at 1102 meV/atom. The value obtained for the density of states at the Fermi level is 3.3 states/eV/cell. The uncorrected formation energy is 1.319 eV per atom.

[5]
Computed, not measured: a geometry-optimized InGeN3 structure at the PBE level of DFT.

Cell lengths 4.244, 4.244, 4.244 Å; angles 90.00, 90.00, 90.00 degrees
Sites, in units of the cell vectors:
In: 0.000 0.000 0.000
Ge: 0.500 0.500 0.500
N: 0.000 0.000 0.500
N: 0.000 0.500 0.000
N: 0.500 0.000 0.000

Results
The value obtained for the total magnetic moment is 3.87 μB/cell. Its crystal system is cubic. As for the space group: Pm-3m (221). The value obtained for the density of states at the Fermi level is 2.5 states/eV/cell. The uncorrected formation energy is 1.999 eV per atom.

[6]
Computed, not measured: a geometry-optimized InGeN2 structure at the PBE level of DFT.

Cell lengths 6.539, 6.539, 6.539 Å; angles 27.40, 27.40, 27.40 degrees
Sites, in units of the cell vectors:
In: 0.000 0.000 0.000
Ge: 0.500 0.500 0.500
N: 0.114 0.114 0.114
N: 0.886 0.886 0.886

Results
The value obtained for the total magnetic moment is 0.00 μB/cell. Its crystal system is trigonal. As for the space group: R-3m (166). The energy above the most stable polymorph in this dataset comes out at 218 meV/atom. The value obtained for the density of states at the Fermi level is 1.6 states/eV/cell. The uncorrected formation energy is 0.436 eV per atom.

[7]
Computed, not measured: a geometry-optimized InNi2GeN structure at the PBE level of DFT.

Cell lengths 4.679, 4.679, 5.150 Å; angles 90.00, 90.00, 90.00 degrees
Sites, in units of the cell vectors:
In: 0.000 0.000 0.000
Ni: 0.000 0.500 0.000
Ni: 0.500 0.000 0.000
Ge: 0.000 0.000 0.500
N: 0.500 0.500 0.500

Results
The value obtained for the total magnetic moment is 0.13 μB/cell. Its crystal system is tetragonal. As for the space group: P4/mmm (123). The value obtained for the density of states at the Fermi level is 5.3 states/eV/cell. The uncorrected formation energy is 2.208 eV per atom.

[8]
Computed, not measured: a geometry-optimized InGeNO2 structure at the PBE level of DFT.

Cell lengths 3.702, 3.702, 4.054 Å; angles 90.00, 90.00, 90.00 degrees
Sites, in units of the cell vectors:
In: 0.000 0.000 0.000
Ge: 0.500 0.500 0.500
N: 0.500 0.500 0.000
O: 0.000 0.500 0.500
O: 0.500 0.000 0.500

Results
The value obtained for the total magnetic moment is 0.00 μB/cell. Its crystal system is tetragonal. As for the space group: P4/mmm (123). The value obtained for the density of states at the Fermi level is 1.6 states/eV/cell. The uncorrected formation energy is -0.396 eV per atom.

[9]
Computed, not measured: a geometry-optimized InGeNO2 structure at the PBE level of DFT.

Cell lengths 4.199, 4.199, 4.242 Å; angles 90.00, 90.00, 90.00 degrees
Sites, in units of the cell vectors:
In: 0.000 0.000 0.000
Ge: 0.500 0.500 0.500
N: 0.000 0.000 0.500
O: 0.000 0.500 0.000
O: 0.500 0.000 0.000

Results
The value obtained for the total magnetic moment is 1.92 μB/cell. Its crystal system is tetragonal. As for the space group: P4/mmm (123). The value obtained for the density of states at the Fermi level is 2.7 states/eV/cell. The uncorrected formation energy is 0.369 eV per atom.

[10]
Computed, not measured: a geometry-optimized InGePd2N structure at the PBE level of DFT.

Cell lengths 5.070, 5.070, 4.013 Å; angles 90.00, 90.00, 90.00 degrees
Sites, in units of the cell vectors:
In: 0.000 0.000 0.000
Ge: 0.500 0.500 0.500
Pd: 0.000 0.500 0.000
Pd: 0.500 0.000 0.000
N: 0.000 0.000 0.500

Results
The value obtained for the total magnetic moment is 0.00 μB/cell. Its crystal system is tetragonal. As for the space group: P4/mmm (123). The value obtained for the density of states at the Fermi level is 1.4 states/eV/cell. The uncorrected formation energy is 1.027 eV per atom.

[11]
Computed, not measured: a geometry-optimized Pm4InGeN structure at the PBE level of DFT.

Cell lengths 8.731, 8.731, 6.832 Å; angles 90.00, 90.00, 133.99 degrees
Sites, in units of the cell vectors:
Pm: 0.000 0.500 0.000
Pm: 0.000 0.500 0.500
Pm: 0.079 0.921 0.750
Pm: 0.413 0.587 0.750
Pm: 0.500 0.000 0.000
Pm: 0.500 0.000 0.500
Pm: 0.587 0.413 0.250
Pm: 0.921 0.079 0.250
In: 0.390 0.610 0.250
In: 0.610 0.390 0.750
Ge: 0.114 0.886 0.250
Ge: 0.886 0.114 0.750
N: 0.252 0.748 0.750
N: 0.748 0.252 0.250

Results
The value obtained for the total magnetic moment is 0.00 μB/cell. Its crystal system is orthorhombic. As for the space group: Cmcm (63). The value obtained for the density of states at the Fermi level is 5.3 states/eV/cell. The uncorrected formation energy is -0.771 eV per atom.

[12]
Computed, not measured: a geometry-optimized In2GeRhN structure at the PBE level of DFT.

Cell lengths 5.146, 5.146, 4.616 Å; angles 90.00, 90.00, 90.00 degrees
Sites, in units of the cell vectors:
In: 0.000 0.500 0.000
In: 0.500 0.000 0.000
Ge: 0.000 0.000 0.500
Rh: 0.000 0.000 0.000
N: 0.500 0.500 0.500

Results
The value obtained for the total magnetic moment is 1.96 μB/cell. Its crystal system is tetragonal. As for the space group: P4/mmm (123). The value obtained for the density of states at the Fermi level is 3.2 states/eV/cell. The uncorrected formation energy is 0.772 eV per atom.